VASP calculation (PBE) on Th3InPb12 after structural relaxation.

abc: 4.885 4.885 20.097
angles: 90.00 90.00 90.00
Space group P4/mmm (No. 123)
Inequivalent atoms, fractional coordinates:
Th  0.000  0.000  0.000
Th  0.000  0.000  0.239
In  0.000  0.000  0.500
Pb  0.000  0.500  0.122
Pb  0.000  0.500  0.374
Pb  0.500  0.500  0.000
Pb  0.500  0.500  0.250
Pb  0.500  0.500  0.500

As for the formation energy: -155.6 meV/atom. For the final energy, the calculation gives -4.499 eV/atom.